Density functional theory data (PBE) for a relaxed structure of Cs2AgSeBr.

Formation energy without anion corrections in eV/f.u.: -4.9

Geometry as CIF:
```
data_Cs2AgSeBr
_cell_length_a 7.0244
_cell_length_b 7.0244
_cell_length_c 4.9042
_cell_angle_alpha 90.00
_cell_angle_beta 90.00
_cell_angle_gamma 90.00
_symmetry_space_group_name_H-M 'P 4/m m m'
_symmetry_Int_Tables_number 123
_symmetry_space_group_name_Hall '-P 4 2'
loop_
_atom_site_label
_atom_site_fract_x
_atom_site_fract_y
_atom_site_fract_z
Cs1 0.0000 0.5000 0.0000
Ag1 0.0000 0.0000 0.5000
Se1 0.0000 0.0000 0.0000
Br1 0.5000 0.5000 0.5000
```